Run i
PmTmNi2 | GGA-PBE | optimized geometry

a b c (Å): 3.4019 3.4019 6.7720
angles (deg): 90.00 90.00 90.00
Closest atoms and distances in Å follow each position.
Fractional coordinates of all 4 atoms:
Ni  0.0000  0.0000  0.7702  4 Tm 2.87, 4 Pm 3.02, 1 Ni 3.11
Ni  0.0000  0.0000  0.2298  4 Tm 2.87, 4 Pm 3.02, 1 Ni 3.11
Tm  0.5000  0.5000  0.0000  8 Ni 2.87
Pm  0.5000  0.5000  0.5000  8 Ni 3.02

Output
space-group type = P4/mmm (123)

***

Run ii
PmTmNi2 | GGA-PBE | optimized geometry

a b c (Å): 3.7626 4.2320 5.4474
angles (deg): 90.00 110.24 90.00
Closest atoms and distances in Å follow each position.
Fractional coordinates of all 4 atoms:
Pm  0.4412  0.5000  0.4207  7 Ni 2.90-2.93
Tm  0.7189  0.0000  0.9770  7 Ni 2.81-3.02
Ni  0.1567  0.5000  0.8529  2 Ni 2.57
Ni  0.0142  0.0000  0.5675  2 Ni 2.57, 2 Tm 2.81-2.82

Output
space-group type = Amm2 (38)

***

Bottom line: run ii, by a margin of 0.073 eV/atom.

***

Run i
PmYNi | GGA-PBE | optimized geometry

a b c (Å): 4.2347 4.5436 4.5436
angles (deg): 120.00 90.00 90.00
Closest atoms and distances in Å follow each position.
Fractional coordinates of all 3 atoms:
Y  0.7556  0.6667  0.3333  3 Ni 2.78
Ni  0.9751  0.0000  0.0000  3 Y 2.78, 3 Pm 2.90
Pm  0.2693  0.3333  0.6667  3 Ni 2.90

Output
space-group type = P3m1 (156)

***

Run ii
PmYNi | GGA-PBE | optimized geometry

a b c (Å): 3.4506 6.9836 6.7526
angles (deg): 105.17 104.83 89.95
Closest atoms and distances in Å follow each position.
Fractional coordinates of all 6 atoms:
Pm  0.3100  0.4873  0.3861  4 Ni 3.01-3.04, 1 Pm 3.25
Pm  0.5676  0.6164  0.9026  4 Ni 3.00-3.04, 1 Pm 3.25
Y  0.5698  0.1169  0.9061  4 Ni 2.87-2.89
Y  0.3079  0.9869  0.3827  4 Ni 2.87-2.89
Ni  0.9406  0.2846  0.6478  4 Y 2.87-2.89, 4 Pm 3.00-3.04
Ni  0.9375  0.8197  0.6412  4 Y 2.87-2.89, 4 Pm 3.01-3.04

Output
space-group type = C2/m (12)

***

Run iii
PmYNi | GGA-PBE | optimized geometry

a b c (Å): 3.6850 7.1918 7.8880
angles (deg): 107.73 117.92 104.79
Closest atoms and distances in Å follow each position.
Fractional coordinates of all 6 atoms:
Pm  0.8543  0.5530  0.0424  2 Ni 2.73
Pm  0.9609  0.6615  0.5944  2 Ni 2.73
Y  0.6533  0.1090  0.5626  4 Ni 2.83-2.84
Y  0.1626  0.1056  0.0749  4 Ni 2.83-2.84
Ni  0.1256  0.3272  0.4261  1 Ni 2.66, 2 Pm 2.73, 4 Y 2.83-2.84
Ni  0.6907  0.8874  0.2117  1 Ni 2.66, 2 Pm 2.73, 4 Y 2.83-2.84

Output
space-group type = P-1 (2)

***

Run iv
PmYNi | GGA-PBE | optimized geometry

a b c (Å): 4.8185 4.8185 4.8185
angles (deg): 60.00 60.00 60.00
Closest atoms and distances in Å follow each position.
Fractional coordinates of all 3 atoms:
Y  0.5000  0.5000  0.5000  4 Ni 2.95
Ni  0.2500  0.2500  0.2500  4 Pm 2.95, 4 Y 2.95
Pm  0.0000  0.0000  0.0000  4 Ni 2.95

Output
space-group type = F-43m (216)

***

Bottom line: run iii, by a margin of 0.053 eV/atom.

***

Run i
PmY2Ni | GGA-PBE | optimized geometry

a b c (Å): 3.5962 3.5962 10.7193
angles (deg): 80.34 80.34 60.00
Closest atoms and distances in Å follow each position.
Fractional coordinates of all 4 atoms:
Y  0.1114  0.1114  0.6659  3 Ni 2.71
Y  0.8886  0.8886  0.3341  3 Ni 2.71
Ni  0.5000  0.5000  0.5000  6 Y 2.71
Pm  0.0000  0.0000  0.0000  2 Y 3.51, 6 Pm 3.60

Output
space-group type = R-3m (166)

***

Run ii
PmY2Ni | GGA-PBE | optimized geometry

a b c (Å): 3.8392 3.8392 9.2637
angles (deg): 78.04 78.04 60.00
Closest atoms and distances in Å follow each position.
Fractional coordinates of all 4 atoms:
Pm  0.5018  0.5018  0.4946  6 Y 3.62-3.72, 6 Pm 3.84
Y  0.0579  0.0579  0.8264  3 Ni 2.73
Y  0.2747  0.2747  0.1758  3 Ni 2.71
Ni  0.6656  0.6656  0.0032  6 Y 2.71-2.73

Output
space-group type = R3m (160)

***

Bottom line: run ii, by a margin of 0.179 eV/atom.

***

Run i
PmY2Ni | GGA-PBE | optimized geometry

a b c (Å): 3.4565 3.4565 8.8739
angles (deg): 90.00 90.00 90.00
Closest atoms and distances in Å follow each position.
Fractional coordinates of all 4 atoms:
Y  0.0000  0.0000  0.8169  4 Ni 2.93, 1 Y 3.25
Y  0.0000  0.0000  0.1831  4 Ni 2.93, 1 Y 3.25
Ni  0.5000  0.5000  0.0000  8 Y 2.93
Pm  0.5000  0.5000  0.5000  4 Pm 3.46, 8 Y 3.73

Output
space-group type = P4/mmm (123)

***

Run ii
PmY2Ni | GGA-PBE | optimized geometry

a b c (Å): 3.6614 6.3772 9.6954
angles (deg): 90.00 90.00 106.65
Closest atoms and distances in Å follow each position.
Fractional coordinates of all 8 atoms:
Pm  0.9163  0.8326  0.2500  2 Ni 2.86
Pm  0.0837  0.1674  0.7500  2 Ni 2.86
Y  0.3624  0.7255  0.5712  2 Ni 2.80
Y  0.6376  0.2745  0.4288  2 Ni 2.80
Y  0.3624  0.7255  0.9288  2 Ni 2.80
Y  0.6376  0.2745  0.0712  2 Ni 2.80
Ni  0.7629  0.5264  0.7500  4 Y 2.80, 2 Pm 2.86
Ni  0.2371  0.4736  0.2500  4 Y 2.80, 2 Pm 2.86

Output
space-group type = Cmcm (63)

***

Run iii
PmY2Ni | GGA-PBE | optimized geometry

a b c (Å): 6.4402 6.9304 9.6934
angles (deg): 90.00 90.00 90.00
Closest atoms and distances in Å follow each position.
Fractional coordinates of all 16 atoms:
Pm  0.6417  0.5329  0.2500  2 Ni 2.78-2.87
Pm  0.8584  0.0329  0.2500  2 Ni 2.78-2.87
Pm  0.3584  0.4671  0.7500  2 Ni 2.78-2.87
Pm  0.1416  0.9671  0.7500  2 Ni 2.78-2.87
Y  0.1779  0.6749  0.0671  2 Ni 2.77-2.86
Y  0.3221  0.1749  0.4329  2 Ni 2.77-2.86
Y  0.8221  0.3251  0.5671  2 Ni 2.77-2.86
Y  0.6779  0.8251  0.9329  2 Ni 2.77-2.86
Y  0.8221  0.3251  0.9329  2 Ni 2.77-2.86
Y  0.6779  0.8251  0.5671  2 Ni 2.77-2.86
Y  0.1779  0.6749  0.4329  2 Ni 2.77-2.86
Y  0.3221  0.1749  0.0671  2 Ni 2.77-2.86
Ni  0.0592  0.3875  0.2500  4 Y 2.77-2.86, 2 Pm 2.78-2.87
Ni  0.4408  0.8875  0.2500  4 Y 2.77-2.86, 2 Pm 2.78-2.87
Ni  0.9408  0.6125  0.7500  4 Y 2.77-2.86, 2 Pm 2.78-2.87
Ni  0.5592  0.1125  0.7500  4 Y 2.77-2.86, 2 Pm 2.78-2.87

Output
space-group type = Pnma (62)

***

Bottom line: run iii, by a margin of 0.030 eV/atom.

***

Run i
PmY3Ni | GGA-PBE | optimized geometry

a b c (Å): 5.3510 5.3510 5.3510
angles (deg): 90.00 90.00 90.00
Closest atoms and distances in Å follow each position.
Fractional coordinates of all 5 atoms:
Y  0.0000  0.5000  0.0000  2 Ni 2.68
Y  0.0000  0.0000  0.5000  2 Ni 2.68
Y  0.5000  0.0000  0.0000  2 Ni 2.68
Ni  0.0000  0.0000  0.0000  6 Y 2.68
Pm  0.5000  0.5000  0.5000  12 Y 3.78

Output
space-group type = Pm-3m (221)

***

Run ii
PmY3Ni | GGA-PBE | optimized geometry

a b c (Å): 7.3161 7.3161 7.1925
angles (deg): 107.49 111.90 109.75
Closest atoms and distances in Å follow each position.
Fractional coordinates of all 10 atoms:
Pm  0.7164  0.0436  0.7600  1 Ni 2.64
Pm  0.2836  0.9564  0.2400  1 Ni 2.64
Y  0.8380  0.0530  0.2941  1 Ni 2.64
Y  0.2411  0.4561  0.2941  1 Ni 2.64
Y  0.7589  0.5439  0.7059  1 Ni 2.64
Y  0.7093  0.4460  0.1553  1 Ni 2.63
Y  0.1620  0.9470  0.7059  1 Ni 2.64
Y  0.2907  0.5540  0.8447  1 Ni 2.63
Ni  0.6377  0.7427  0.3804  3 Y 2.63-2.64, 1 Pm 2.64
Ni  0.3623  0.2573  0.6196  3 Y 2.63-2.64, 1 Pm 2.64

Output
space-group type = C2/m (12)

***

Bottom line: run ii, by a margin of 0.042 eV/atom.

***

Run i
PmYNi3 | GGA-PBE | optimized geometry

a b c (Å): 4.0124 3.8554 12.5250
angles (deg): 98.85 90.00 90.00
Closest atoms and distances in Å follow each position.
Fractional coordinates of all 10 atoms:
Pm  0.2500  0.7997  0.5994  6 Ni 2.84-2.89
Pm  0.7500  0.2003  0.4006  6 Ni 2.84-2.89
Y  0.2500  0.0687  0.1374  12 Ni 2.98-3.15
Y  0.7500  0.9313  0.8626  12 Ni 2.98-3.15
Ni  0.2500  0.3840  0.7681  3 Ni 2.30-2.40
Ni  0.7500  0.6160  0.2319  3 Ni 2.30-2.40
Ni  0.2500  0.4769  0.9538  3 Ni 2.30-2.31
Ni  0.7500  0.5231  0.0462  3 Ni 2.30-2.31
Ni  0.7500  0.3308  0.6615  2 Ni 2.40
Ni  0.2500  0.6692  0.3385  2 Ni 2.40

Output
space-group type = Cmcm (63)

***

Run ii
PmYNi3 | GGA-PBE | optimized geometry

a b c (Å): 4.0104 3.9288 12.2986
angles (deg): 99.19 90.00 90.00
Closest atoms and distances in Å follow each position.
Fractional coordinates of all 10 atoms:
Pm  0.2500  0.0714  0.1428  12 Ni 3.03-3.17
Pm  0.7500  0.9286  0.8572  12 Ni 3.03-3.17
Y  0.2500  0.7963  0.5925  7 Ni 2.82-2.97
Y  0.7500  0.2037  0.4075  7 Ni 2.82-2.97
Ni  0.2500  0.3795  0.7590  3 Ni 2.33-2.39
Ni  0.7500  0.6205  0.2410  3 Ni 2.33-2.39
Ni  0.2500  0.4754  0.9508  3 Ni 2.33
Ni  0.7500  0.5246  0.0492  3 Ni 2.33
Ni  0.7500  0.3259  0.6518  2 Ni 2.39
Ni  0.2500  0.6741  0.3482  2 Ni 2.39

Output
space-group type = Cmcm (63)

***

Bottom line: run ii, by a margin of 0.011 eV/atom.

***

Run i
Pm3YNi | GGA-PBE | optimized geometry

a b c (Å): 5.9616 7.6478 7.6477
angles (deg): 120.00 90.00 90.00
Closest atoms and distances in Å follow each position.
Fractional coordinates of all 10 atoms:
Pm  0.7500  0.6451  0.8226  2 Ni 2.78
Pm  0.2500  0.8226  0.6452  2 Ni 2.78
Pm  0.2500  0.3549  0.1774  2 Ni 2.78
Pm  0.7500  0.1774  0.3548  2 Ni 2.78
Pm  0.2500  0.8225  0.1774  2 Ni 2.78
Pm  0.7500  0.1775  0.8226  2 Ni 2.78
Y  0.7499  0.6667  0.3334  12 Pm 3.63-3.83
Y  0.2501  0.3333  0.6666  12 Pm 3.63-3.83
Ni  0.0000  0.0000  0.0000  6 Pm 2.78, 2 Ni 2.98
Ni  0.5000  0.0000  0.0000  6 Pm 2.78, 2 Ni 2.98

Output
space-group type = P6_3/mmc (194)

***

Run ii
Pm3YNi | GGA-PBE | optimized geometry

a b c (Å): 5.4426 5.4426 5.4426
angles (deg): 90.00 90.00 90.00
Closest atoms and distances in Å follow each position.
Fractional coordinates of all 5 atoms:
Y  0.5000  0.5000  0.5000  12 Pm 3.85
Ni  0.0000  0.0000  0.0000  6 Pm 2.72
Pm  0.0000  0.5000  0.0000  2 Ni 2.72
Pm  0.0000  0.0000  0.5000  2 Ni 2.72
Pm  0.5000  0.0000  0.0000  2 Ni 2.72

Output
space-group type = Pm-3m (221)

***

Bottom line: run i, by a margin of 0.066 eV/atom.

***

Run i
Pm2YNi2 | GGA-PBE | optimized geometry

a b c (Å): 3.8452 4.3773 7.4272
angles (deg): 107.14 90.00 90.00
Closest atoms and distances in Å follow each position.
Fractional coordinates of all 5 atoms:
Pm  0.5000  0.6485  0.2970  6 Ni 2.87-3.01
Pm  0.5000  0.3515  0.7030  6 Ni 2.87-3.01
Y  0.0000  0.0000  0.0000  2 Ni 2.86
Ni  0.0000  0.2015  0.4029  2 Ni 2.59, 1 Y 2.86, 2 Pm 2.87
Ni  0.0000  0.7985  0.5971  2 Ni 2.59, 1 Y 2.86, 2 Pm 2.87

Output
space-group type = Cmmm (65)

***

Run ii
Pm2YNi2 | GGA-PBE | optimized geometry

a b c (Å): 4.3947 5.4251 11.2778
angles (deg): 113.52 90.00 90.00
Closest atoms and distances in Å follow each position.
Fractional coordinates of all 10 atoms:
Pm  0.2500  0.7680  0.8797  5 Ni 2.87-3.03
Pm  0.7500  0.2320  0.1203  5 Ni 2.87-3.03
Pm  0.2500  0.2914  0.5376  4 Ni 2.84-2.98
Pm  0.7500  0.7086  0.4624  4 Ni 2.84-2.98
Y  0.2500  0.8146  0.2085  5 Ni 2.84-2.91
Y  0.7500  0.1854  0.7915  5 Ni 2.84-2.91
Ni  0.2500  0.8902  0.6403  5 Pm 2.84-3.03, 2 Y 2.85
Ni  0.7500  0.1098  0.3597  5 Pm 2.84-3.03, 2 Y 2.85
Ni  0.2500  0.3449  0.9759  2 Ni 2.69, 3 Y 2.84-2.91, 4 Pm 2.87-2.94
Ni  0.7500  0.6551  0.0241  2 Ni 2.69, 3 Y 2.84-2.91, 4 Pm 2.87-2.94

Output
space-group type = P2_1/m (11)

***

Bottom line: run i, by a margin of 0.020 eV/atom.